<w>
Density functional theory data (PBE-GGA) for YHgBr after structural relaxation. Values from VASP.

Cell and atoms, written as Quantum ESPRESSO input:
```
&SYSTEM
  ibrav = 0, nat = 3, ntyp = 3
/
ATOMIC_SPECIES
Hg 200.59 Hg.upf
Br 79.90 Br.upf
Y 88.91 Y.upf
CELL_PARAMETERS angstrom
4.9676 0.0000 0.0000
-2.4838 4.3020 0.0000
0.0000 0.0000 3.9332
ATOMIC_POSITIONS angstrom
Hg 2.4838 1.4340 1.3125
Br 0.0000 0.0000 3.2794
Y 0.0000 2.8680 3.2745
```

Summary:
SG = No. 187
Theoretical density = 7.30 g cm⁻³

=====

<x>
Density functional theory data (PBE-GGA) for YHgBr after structural relaxation. Values from VASP.

Cell and atoms, written as Quantum ESPRESSO input:
```
&SYSTEM
  ibrav = 0, nat = 3, ntyp = 3
/
ATOMIC_SPECIES
Hg 200.59 Hg.upf
Br 79.90 Br.upf
Y 88.91 Y.upf
CELL_PARAMETERS angstrom
8.3116 0.0133 -0.0096
7.2354 3.4549 -0.0008
1.0762 -1.0653 3.2725
ATOMIC_POSITIONS angstrom
Hg 5.5227 0.3277 2.2638
Br 1.5217 -0.9257 3.1715
Y 10.6550 1.9356 1.0994
```

Summary:
SG = No. 42
Theoretical density = 6.54 g cm⁻³

=====

<y>
Density functional theory data (PBE-GGA) for YHgBr after structural relaxation. Values from VASP.

Cell and atoms, written as Quantum ESPRESSO input:
```
&SYSTEM
  ibrav = 0, nat = 3, ntyp = 3
/
ATOMIC_SPECIES
Y 88.91 Y.upf
Br 79.90 Br.upf
Hg 200.59 Hg.upf
CELL_PARAMETERS angstrom
-2.1493 -2.9757 -0.8896
1.4401 0.3173 3.4773
-6.4147 3.9467 2.2964
ATOMIC_POSITIONS angstrom
Y -4.0911 1.8866 3.5734
Br -5.9148 3.6391 2.1174
Hg -3.5328 -0.2907 1.4896
```

Summary:
SG = No. 156
Theoretical density = 6.31 g cm⁻³

=====

Need the numbers? Relative energies in eV/atom: <w> 0.165; <x> 0.131; <y> 0.000.